# Ce3YTe6

Ce3YTe6 after structural relaxation (GGA-PBE, Alexandria via LeMat-Bulk).

```
data_Ce3YTe6
_cell_length_a 7.453
_cell_length_b 8.378
_cell_length_c 13.344
_cell_angle_alpha 90.00
_cell_angle_beta 122.66
_cell_angle_gamma 90.00
_symmetry_space_group_name_H-M 'P 1 21/c 1'
_symmetry_Int_Tables_number 14
loop_
_symmetry_equiv_pos_as_xyz
'x,y,z'
'-x,-y,-z'
'-x,y+1/2,-z+1/2'
'x,-y+1/2,z+1/2'
loop_
_atom_site_label
_atom_site_type_symbol
_atom_site_fract_x
_atom_site_fract_y
_atom_site_fract_z
Ce1 Ce 0.000 0.000 0.000
Ce2 Ce 0.306 0.119 0.754
Y1 Y 0.500 0.000 0.500
Te1 Te 0.091 0.053 0.255
Te2 Te 0.241 0.674 0.079
Te3 Te 0.418 0.179 0.075
```

Results
- Uncorrected energy: -5.635 eV/atom
- Calculated volume: 35.1 Å³/atom